## 1
Entry from Alexandria via LeMat-Bulk: an optimized crystal structure of TcBSbTe2 (GGA-PBE).

POSCAR file:
```
TcBSbTe2
1.0
4.752 0.000 0.000
0.000 4.752 0.000
0.000 0.000 4.679
Sb B Te Tc
1 1 2 1
Direct
0.000 0.000 0.500
0.000 0.000 0.000
0.000 0.500 0.000
0.500 0.000 0.000
0.500 0.500 0.500
```

size of the total moment = 1.8 μB per formula unit
Fermi-level density of states = 0.86 states/eV/atom
volume = 21.1 A^3/atom

=====

## 2
Entry from Alexandria via LeMat-Bulk: an optimized crystal structure of TcBSbTe2 (GGA-PBE).

POSCAR file:
```
TcBSbTe2
1.0
-4.840 1.564 -1.305
-0.523 -4.205 -3.101
-1.914 -2.653 3.920
Sb B Te Tc
1 1 2 1
Direct
0.000 0.000 0.500
0.500 0.500 0.500
0.000 0.500 0.000
0.500 0.000 0.000
0.000 0.000 0.000
```

size of the total moment = 0.0 μB per formula unit
Fermi-level density of states = 1.20 states/eV/atom
volume = 28.2 A^3/atom

=====

Which structure wins on stability? 1 wins.

=====

## 1
Entry from Alexandria via LeMat-Bulk: an optimized crystal structure of TcBSb2Te (GGA-PBE).

POSCAR file:
```
TcBSb2Te
1.0
-2.844 0.851 -3.659
-2.718 -3.634 1.268
-2.616 2.902 2.708
Sb B Te Tc
2 1 1 1
Direct
0.000 0.500 0.000
0.500 0.000 0.000
0.000 0.000 0.000
0.000 0.000 0.500
0.500 0.500 0.500
```

size of the total moment = 2.0 μB per formula unit
Fermi-level density of states = 0.73 states/eV/atom
volume = 21.1 A^3/atom

=====

## 2
Entry from Alexandria via LeMat-Bulk: an optimized crystal structure of TcBSb2Te (GGA-PBE).

POSCAR file:
```
TcBSb2Te
1.0
5.098 0.000 0.000
0.000 5.098 0.000
0.000 0.000 5.327
Sb B Te Tc
2 1 1 1
Direct
0.000 0.500 0.000
0.500 0.000 0.000
0.500 0.500 0.500
0.000 0.000 0.500
0.000 0.000 0.000
```

size of the total moment = 0.0 μB per formula unit
Fermi-level density of states = 1.11 states/eV/atom
volume = 27.7 A^3/atom

=====

Which structure wins on stability? 1 wins.

=====

## 1
Entry from Alexandria via LeMat-Bulk: an optimized crystal structure of BSbTe2 (GGA-PBE).

POSCAR file:
```
BSbTe2
1.0
0.171 -3.918 3.366
1.694 0.803 4.817
-3.315 -0.149 3.963
Sb B Te
1 1 2
Direct
0.500 0.500 0.500
0.000 0.000 0.000
0.250 0.250 0.250
0.750 0.750 0.750
```

size of the total moment = 0.0 μB per formula unit
Fermi-level density of states = 0.61 states/eV/atom
volume = 24.4 A^3/atom

=====

## 2
Entry from Alexandria via LeMat-Bulk: an optimized crystal structure of BSbTe2 (GGA-PBE).

POSCAR file:
```
BSbTe2
1.0
-7.657 -5.347 -1.156
-5.136 -7.593 -2.128
-5.923 -7.201 1.274
Sb B Te
1 1 2
Direct
0.000 0.000 0.000
0.500 0.500 0.500
0.886 0.886 0.886
0.114 0.114 0.114
```

size of the total moment = 0.0 μB per formula unit
Fermi-level density of states = 0.61 states/eV/atom
volume = 24.6 A^3/atom

=====

## 3
Entry from Alexandria via LeMat-Bulk: an optimized crystal structure of BSbTe2 (GGA-PBE).

POSCAR file:
```
BSbTe2
1.0
6.833 0.000 0.000
0.000 6.833 0.000
3.417 3.417 4.617
Sb B Te
2 2 4
Direct
0.000 0.000 0.000
0.750 0.250 0.500
0.500 0.500 0.000
0.250 0.750 0.500
0.536 0.125 0.250
0.214 0.625 0.250
0.375 0.464 0.750
0.875 0.786 0.750
```

size of the total moment = 0.0 μB per formula unit
Fermi-level density of states = 0.47 states/eV/atom
volume = 27.0 A^3/atom

=====

## 4
Entry from Alexandria via LeMat-Bulk: an optimized crystal structure of BSbTe2 (GGA-PBE).

POSCAR file:
```
BSbTe2
1.0
2.434 0.000 8.413
-1.217 2.108 8.413
-1.217 -2.108 8.413
Sb B Te
1 1 2
Direct
0.500 0.500 0.500
0.000 0.000 0.000
0.082 0.082 0.082
0.918 0.918 0.918
```

size of the total moment = 0.0 μB per formula unit
Fermi-level density of states = 0.75 states/eV/atom
volume = 32.4 A^3/atom

=====

Which structure wins on stability? 3 wins.